1.
First-principles (PBE) data for an optimized crystal structure of Na3Ca3RuO8, as listed in the Alexandria database.

Unit cell a=6.7173 b=6.7174 c=6.7582 alpha=119.81 beta=90.00 gamma=120.00
Positions (direct):
Na 0.0000 0.0000 0.0000
Na 0.0000 0.5000 0.0000
Na 0.5000 0.5000 0.0000
Ca 0.5000 0.0000 0.5000
Ca 0.5000 0.5000 0.5000
Ca 0.0000 0.5000 0.5000
Ru 0.0000 0.0000 0.5000
O 0.2599 0.5197 0.2796
O 0.7401 0.4803 0.7204
O 0.7964 0.5928 0.3022
O 0.2036 0.4072 0.6978
O 0.7964 0.0058 0.3022
O 0.2036 0.9942 0.6978
O 0.2094 0.0058 0.3022
O 0.7906 0.9942 0.6978

2.
First-principles (PBE) data for an optimized crystal structure of NaCa2RuO5, as listed in the Alexandria database.

Unit cell a=3.8580 b=5.8290 c=6.5269 alpha=116.52 beta=107.19 gamma=90.00
Positions (direct):
Na 0.0000 0.5000 0.0000
Ca 0.2180 0.2180 0.4360
Ca 0.7820 0.7820 0.5640
Ru 0.5000 0.0000 0.0000
O 0.6334 0.9045 0.2667
O 0.3666 0.0955 0.7333
O 0.3666 0.6378 0.7333
O 0.6334 0.3622 0.2667
O 0.0000 0.0000 0.0000

3.
First-principles (PBE) data for an optimized crystal structure of Na2Ca2RuO6, as listed in the Alexandria database.

Unit cell a=5.6690 b=5.6690 c=5.8618 alpha=98.61 beta=98.61 gamma=118.26
Positions (direct):
Na 0.8456 0.1544 0.0000
Na 0.1544 0.8456 0.0000
Ca 0.3376 0.6624 0.5000
Ca 0.6624 0.3376 0.5000
Ru 0.0000 0.0000 0.5000
O 0.7801 0.7801 0.7010
O 0.0508 0.3421 0.6963
O 0.2199 0.2199 0.2990
O 0.3421 0.0508 0.6963
O 0.9492 0.6579 0.3037
O 0.6579 0.9492 0.3037

4.
First-principles (PBE) data for an optimized crystal structure of NaCa2RuO6, as listed in the Alexandria database.

Unit cell a=5.4976 b=5.8723 c=7.9309 alpha=90.00 beta=89.07 gamma=90.00
Positions (direct):
Na 0.5000 0.0000 0.0000
Na 0.0000 0.5000 0.5000
Ca 0.0220 0.9291 0.2581
Ca 0.5220 0.5709 0.7581
Ca 0.9780 0.0709 0.7419
Ca 0.4780 0.4291 0.2419
Ru 0.5000 0.0000 0.5000
Ru 0.0000 0.5000 0.0000
O 0.2844 0.6726 0.0516
O 0.7844 0.8274 0.5516
O 0.7156 0.3274 0.9484
O 0.2156 0.1726 0.4484
O 0.3415 0.7285 0.4245
O 0.8415 0.7715 0.9245
O 0.6585 0.2715 0.5755
O 0.1585 0.2285 0.0755
O 0.8770 0.5550 0.2236
O 0.3770 0.9450 0.7236
O 0.1230 0.4450 0.7764
O 0.6230 0.0550 0.2764

5.
First-principles (PBE) data for an optimized crystal structure of Na2CaSO6, as listed in the Alexandria database.

Unit cell a=5.7928 b=5.6665 c=5.6665 alpha=120.00 beta=90.00 gamma=90.00
Positions (direct):
Na 0.0601 0.3333 0.6667
Na 0.9399 0.6667 0.3333
Ca 0.5000 0.0000 0.0000
S 0.0000 0.0000 0.0000
O 0.8325 0.1375 0.2750
O 0.8325 0.1375 0.8625
O 0.8325 0.7250 0.8625
O 0.1675 0.8625 0.1375
O 0.1675 0.2750 0.1375
O 0.1675 0.8625 0.7250

6.
First-principles (PBE) data for an optimized crystal structure of Na2CaSO4, as listed in the Alexandria database.

Unit cell a=5.0811 b=5.0811 c=5.0811 alpha=103.41 beta=112.59 gamma=112.59
Positions (direct):
Na 0.5000 0.7500 0.2500
Na 0.0000 0.0000 0.0000
Ca 0.5000 0.2500 0.7500
S 0.0000 0.5000 0.5000
O 0.5616 0.2807 0.2804
O 0.9998 0.2810 0.7193
O 0.0002 0.7195 0.2812
O 0.4384 0.7188 0.7190

7.
First-principles (PBE) data for an optimized crystal structure of Na3CaS4O12, as listed in the Alexandria database.

Unit cell a=6.8710 b=6.8710 c=6.8710 alpha=104.92 beta=104.92 gamma=104.92
Positions (direct):
Na 0.5641 0.4359 0.0000
Na 0.4359 0.0000 0.5641
Na 0.0000 0.5641 0.4359
Ca 0.0000 0.0000 0.0000
S 0.9214 0.0786 0.5000
S 0.0786 0.5000 0.9214
S 0.5000 0.9214 0.0786
S 0.5000 0.5000 0.5000
O 0.5000 0.3680 0.6320
O 0.9401 0.5000 0.0599
O 0.0599 0.9401 0.5000
O 0.5000 0.0599 0.9401
O 0.3545 0.0032 0.2086
O 0.2086 0.3545 0.0032
O 0.0032 0.2086 0.3545
O 0.6455 0.7914 0.9968
O 0.9968 0.6455 0.7914
O 0.7914 0.9968 0.6455
O 0.6320 0.5000 0.3680
O 0.3680 0.6320 0.5000

8.
First-principles (PBE) data for an optimized crystal structure of Na2CaS2O8, as listed in the Alexandria database.

Unit cell a=6.6173 b=6.6173 c=8.6765 alpha=72.92 beta=72.92 gamma=78.44
Positions (direct):
Na 0.5859 0.6951 0.5627
Na 0.4141 0.3049 0.4373
Na 0.3049 0.4141 0.9373
Na 0.6951 0.5859 0.0627
Ca 0.0617 0.9383 0.2500
Ca 0.9383 0.0617 0.7500
S 0.5999 0.0327 0.1854
S 0.4001 0.9673 0.8146
S 0.9673 0.4001 0.3146
S 0.0327 0.5999 0.6854
O 0.4817 0.7387 0.8696
O 0.2613 0.5183 0.6304
O 0.5183 0.2613 0.1304
O 0.7387 0.4817 0.3696
O 0.3256 0.9989 0.6604
O 0.0011 0.6744 0.8396
O 0.6744 0.0011 0.3396
O 0.9989 0.3256 0.1604
O 0.5695 0.1057 0.7759
O 0.8943 0.4305 0.7241
O 0.0368 0.2123 0.4416
O 0.7877 0.9632 0.0584
O 0.9632 0.7877 0.5584
O 0.2123 0.0368 0.9416
O 0.1057 0.5695 0.2759
O 0.4305 0.8943 0.2241

no.,E (eV per atom),total moment (μB/atom)
1,-5.823,0.068
2,-6.311,0.310
3,-5.980,0.182
4,-6.241,0.104
5,-5.206,0.203
6,-5.020,0.229
7,-5.296,0.000
8,-6.037,0.000